Arrangement one

DFT (PBE) results for a relaxed structure of Ho3Sb2Se.

a = 5.990 Å, b = 8.863 Å, c = 8.863 Å
α = 119.90°, β = 90.00°, γ = 90.00°
Fractional coordinates of all 12 atoms:
Ho1 0.993 0.832 0.512
Ho2 0.493 0.488 0.168
Ho3 0.993 0.512 0.832
Ho4 0.493 0.168 0.488
Ho5 0.493 0.843 0.843
Ho6 0.993 0.157 0.157
Sb1 0.493 0.834 0.503
Sb2 0.993 0.497 0.166
Sb3 0.493 0.503 0.834
Sb4 0.993 0.166 0.497
Se1 0.993 0.840 0.840
Se2 0.493 0.160 0.160

Arrangement two

DFT (PBE) results for a relaxed structure of Ho3Sb2Se.

a = 4.275 Å, b = 6.065 Å, c = 7.385 Å
α = 114.24°, β = 106.83°, γ = 90.00°
Fractional coordinates of all 6 atoms:
Ho1 0.500 0.500 0.000
Ho2 0.160 0.161 0.321
Ho3 0.840 0.839 0.679
Sb1 0.169 0.669 0.338
Sb2 0.831 0.331 0.662
Se1 0.500 0.000 0.000

arrangement two (0.254 eV/atom below the next structure)

Arrangement one

DFT (PBE) results for a relaxed structure of SmHoSb2.

a = 4.422 Å, b = 4.422 Å, c = 7.652 Å
α = 89.96°, β = 106.82°, γ = 120.03°
Fractional coordinates of all 4 atoms:
Sm1 0.000 0.500 0.500
Ho1 0.000 0.000 0.000
Sb1 0.505 0.252 0.757
Sb2 0.495 0.748 0.243

Arrangement two

DFT (PBE) results for a relaxed structure of SmHoSb2.

a = 4.390 Å, b = 4.390 Å, c = 7.906 Å
α = 73.88°, β = 73.88°, γ = 60.00°
Fractional coordinates of all 4 atoms:
Sm1 0.669 0.669 0.993
Ho1 0.498 0.498 0.506
Sb1 0.084 0.084 0.748
Sb2 0.249 0.249 0.253

Arrangement three

DFT (PBE) results for a relaxed structure of SmHoSb2.

a = 4.412 Å, b = 4.412 Å, c = 14.541 Å
α = 90.00°, β = 90.00°, γ = 120.00°
Fractional coordinates of all 8 atoms:
Sm1 0.000 0.000 0.500
Sm2 0.000 0.000 0.000
Ho1 0.667 0.333 0.250
Ho2 0.333 0.667 0.750
Sb1 0.333 0.667 0.374
Sb2 0.667 0.333 0.874
Sb3 0.667 0.333 0.626
Sb4 0.333 0.667 0.126

arrangement one (0.075 eV/atom below the next structure)

Arrangement one

DFT (PBE) results for a relaxed structure of Tb3HoSb3.

a = 9.212 Å, b = 9.212 Å, c = 9.212 Å
α = 90.00°, β = 90.00°, γ = 90.00°
Fractional coordinates of all 28 atoms:
Tb1 0.822 0.322 0.178
Tb2 0.929 0.929 0.929
Tb3 0.822 0.678 0.322
Tb4 0.178 0.822 0.322
Tb5 0.178 0.178 0.178
Tb6 0.322 0.822 0.678
Tb7 0.071 0.429 0.571
Tb8 0.322 0.178 0.822
Tb9 0.678 0.322 0.822
Tb10 0.678 0.678 0.678
Tb11 0.571 0.071 0.429
Tb12 0.429 0.571 0.071
Ho1 0.072 0.572 0.928
Ho2 0.928 0.072 0.572
Ho3 0.428 0.428 0.428
Ho4 0.572 0.928 0.072
Sb1 0.752 0.626 0.999
Sb2 0.874 0.001 0.252
Sb3 0.999 0.752 0.626
Sb4 0.126 0.501 0.248
Sb5 0.248 0.126 0.501
Sb6 0.252 0.874 0.001
Sb7 0.001 0.252 0.874
Sb8 0.374 0.499 0.748
Sb9 0.501 0.248 0.126
Sb10 0.626 0.999 0.752
Sb11 0.748 0.374 0.499
Sb12 0.499 0.748 0.374

Arrangement two

DFT (PBE) results for a relaxed structure of Tb3HoSb3.

a = 8.972 Å, b = 8.972 Å, c = 8.044 Å
α = 56.10°, β = 56.10°, γ = 60.00°
Fractional coordinates of all 14 atoms:
Tb1 0.345 0.822 0.745
Tb2 0.822 0.088 0.745
Tb3 0.088 0.345 0.745
Tb4 0.912 0.655 0.255
Tb5 0.178 0.912 0.255
Tb6 0.655 0.178 0.255
Ho1 0.334 0.334 0.999
Ho2 0.666 0.666 0.001
Sb1 0.304 0.529 0.244
Sb2 0.923 0.304 0.244
Sb3 0.529 0.923 0.244
Sb4 0.471 0.077 0.756
Sb5 0.077 0.696 0.756
Sb6 0.696 0.471 0.756

arrangement one (0.093 eV/atom below the next structure)

Arrangement one

DFT (PBE) results for a relaxed structure of Tb3HoSb2.

a = 4.478 Å, b = 4.478 Å, c = 8.504 Å
α = 90.00°, β = 90.00°, γ = 90.00°
Fractional coordinates of all 6 atoms:
Tb1 0.500 0.000 0.351
Tb2 0.000 0.500 0.649
Tb3 0.000 0.000 0.000
Ho1 0.500 0.500 0.000
Sb1 0.500 0.000 0.720
Sb2 0.000 0.500 0.280

Arrangement two

DFT (PBE) results for a relaxed structure of Tb3HoSb2.

a = 6.988 Å, b = 7.642 Å, c = 8.877 Å
α = 115.50°, β = 113.18°, γ = 90.00°
Fractional coordinates of all 12 atoms:
Tb1 0.500 0.250 0.000
Tb2 0.500 0.750 0.000
Tb3 0.793 0.043 0.587
Tb4 0.207 0.457 0.413
Tb5 0.207 0.957 0.413
Tb6 0.793 0.543 0.587
Ho1 0.000 0.500 0.000
Ho2 0.000 0.000 0.000
Sb1 0.527 0.353 0.706
Sb2 0.820 0.147 0.294
Sb3 0.180 0.853 0.706
Sb4 0.473 0.647 0.294

arrangement one (0.237 eV/atom below the next structure)

Arrangement one

DFT (PBE) results for a relaxed structure of Ho4Sb3Te.

a = 6.164 Å, b = 6.164 Å, c = 6.164 Å
α = 90.00°, β = 90.00°, γ = 90.00°
Fractional coordinates of all 8 atoms:
Ho1 0.500 0.000 0.000
Ho2 0.000 0.500 0.000
Ho3 0.000 0.000 0.500
Ho4 0.500 0.500 0.500
Sb1 0.000 0.500 0.500
Sb2 0.500 0.000 0.500
Sb3 0.500 0.500 0.000
Te1 0.000 0.000 0.000

Arrangement two

DFT (PBE) results for a relaxed structure of Ho4Sb3Te.

a = 4.361 Å, b = 6.167 Å, c = 8.724 Å
α = 90.00°, β = 90.00°, γ = 90.00°
Fractional coordinates of all 8 atoms:
Sb1 0.500 0.500 0.248
Sb2 0.000 0.000 0.500
Sb3 0.500 0.500 0.752
Te1 0.000 0.000 0.000
Ho1 0.000 0.500 0.500
Ho2 0.500 0.000 0.742
Ho3 0.000 0.500 0.000
Ho4 0.500 0.000 0.258

arrangement two (0.010 eV/atom below the next structure)